First-principles (PBE) data for a geometry-optimized TeAuN2 structure, as listed in the Alexandria database.

Output
The crystal system is triclinic. As for the space group: P-1 (2). As for the uncorrected energy: -0.4266 Ry/atom. As for the uncorrected formation energy: -3.5 kJ/mol of atoms.

abc: 4.027 6.673 10.614
angles: 83.78 87.20 89.73
Sites, in units of the cell vectors:
Te  0.016  0.193  0.368
Te  0.984  0.807  0.632
Au  0.000  0.500  0.500
Au  0.500  0.000  0.500
N  0.333  0.798  0.098
N  0.494  0.663  0.116
N  0.506  0.337  0.884
N  0.667  0.202  0.902